Entry from Alexandria: MnMo2Se4S2 after structural relaxation (PBE-GGA).

abc: 3.2682 3.2682 21.2824
angles: 90.00 90.00 120.00
Last column: nearest neighbours and their distance in Å.
Fractional positions:
Mo  0.6667  0.3333  0.6454  6 Se 2.54
Se  0.0000  0.0000  0.7250  3 Mo 2.54
Mn  0.0000  0.0000  0.3289  6 S 2.32-2.33
Mo  0.0000  0.0000  0.9848  6 Se 2.54
Se  0.6667  0.3333  0.0644  3 Mo 2.54
Se  0.0000  0.0000  0.5658  3 Mo 2.54
Se  0.6667  0.3333  0.9052  3 Mo 2.54
S  0.6667  0.3333  0.2650  3 Mn 2.33
S  0.6667  0.3333  0.3927  3 Mn 2.32

Output
Size of the total moment: 0.1440 μB/atom
Formation energy without anion corrections: -13.34 kcal/mol of atoms
N(E_F): 3.67 states/eV per cell